## a
DFT (PBE) results for a relaxed structure of Cu4Ni3.

Summary:
spin magnetization	0.0806	μB/atom

a = 6.130 Å, b = 6.130 Å, c = 6.200 Å
α = 116.34°, β = 116.34°, γ = 23.15°
Element x y z (fractional)
1 Cu 0.078 0.078 0.205
2 Cu 0.362 0.362 0.100
3 Cu 0.638 0.638 0.900
4 Cu 0.922 0.922 0.795
5 Ni 0.000 0.000 0.500
6 Ni 0.221 0.221 0.642
7 Ni 0.779 0.779 0.358

## b
DFT (PBE) results for a relaxed structure of Cu4Ni3.

Summary:
spin magnetization	0.0818	μB/atom

a = 4.602 Å, b = 4.602 Å, c = 4.546 Å
α = 90.00°, β = 90.00°, γ = 120.00°
Element x y z (fractional)
1 Cu 0.000 0.000 0.248
2 Cu 0.000 0.000 0.752
3 Cu 0.333 0.667 0.000
4 Cu 0.667 0.333 0.000
5 Ni 0.000 0.500 0.500
6 Ni 0.500 0.000 0.500
7 Ni 0.500 0.500 0.500

Relative energies, kJ/mol of atoms: a 0.0; b 3.4.

## a
DFT (PBE) results for a relaxed structure of Cu6Ni.

Summary:
spin magnetization	0.1078	μB/atom

a = 5.515 Å, b = 5.515 Å, c = 5.515 Å
α = 109.47°, β = 109.47°, γ = 109.47°
Element x y z (fractional)
1 Cu 0.250 0.500 0.750
2 Cu 0.250 0.750 0.500
3 Cu 0.500 0.250 0.750
4 Cu 0.500 0.750 0.250
5 Cu 0.750 0.250 0.500
6 Cu 0.750 0.500 0.250
7 Ni 0.000 0.000 0.000

## b
DFT (PBE) results for a relaxed structure of Cu6Ni.

Summary:
spin magnetization	0.0000	μB/atom

a = 3.562 Å, b = 3.562 Å, c = 7.021 Å
α = 90.00°, β = 90.00°, γ = 90.00°
Element x y z (fractional)
1 Cu 0.000 0.000 0.000
2 Cu 0.000 0.500 0.243
3 Cu 0.000 0.500 0.757
4 Cu 0.500 0.000 0.243
5 Cu 0.500 0.000 0.757
6 Cu 0.500 0.500 0.500
7 Ni 0.000 0.000 0.500

Relative energies, kJ/mol of atoms: a 97.1; b 0.0.

## a
DFT (PBE) results for a relaxed structure of Cu4Ni5.

Summary:
spin magnetization	0.1994	μB/atom

a = 7.010 Å, b = 7.010 Å, c = 4.854 Å
α = 90.00°, β = 90.00°, γ = 120.00°
Element x y z (fractional)
1 Cu 0.000 0.000 0.000
2 Cu 0.000 0.000 0.500
3 Cu 0.000 0.333 0.250
4 Cu 0.000 0.667 0.750
5 Cu 0.333 0.000 0.250
6 Cu 0.333 0.333 0.750
7 Cu 0.667 0.000 0.750
8 Cu 0.667 0.667 0.250
9 Ni 0.000 0.336 0.750
10 Ni 0.000 0.664 0.250
11 Ni 0.333 0.667 0.000
12 Ni 0.333 0.667 0.500
13 Ni 0.336 0.000 0.750
14 Ni 0.336 0.336 0.250
15 Ni 0.664 0.000 0.250
16 Ni 0.664 0.664 0.750
17 Ni 0.667 0.333 0.000
18 Ni 0.667 0.333 0.500

## b
DFT (PBE) results for a relaxed structure of Cu4Ni5.

Summary:
spin magnetization	0.1284	μB/atom

a = 5.635 Å, b = 5.635 Å, c = 5.635 Å
α = 95.67°, β = 95.67°, γ = 143.38°
Element x y z (fractional)
1 Cu 0.000 0.331 0.331
2 Cu 0.000 0.669 0.669
3 Cu 0.331 0.000 0.331
4 Cu 0.669 0.000 0.669
5 Ni 0.000 0.000 0.000
6 Ni 0.335 0.335 0.670
7 Ni 0.335 0.665 0.000
8 Ni 0.665 0.335 0.000
9 Ni 0.665 0.665 0.330

Relative energies, kJ/mol of atoms: a 9.8; b 0.0.